First-principles (GGA-PBE) data for an optimized crystal structure of RbFe2Ir, as listed in the Alexandria database.

Results
The value obtained for the formation energy is 1348 meV per atom. Its space group is I4_1/amd. As for the raw total energy: -5.34 eV per atom.

```
RbFe2Ir
1.0
-2.494 2.494 7.819
2.494 -2.494 7.819
2.494 2.494 -7.819
Rb Fe Ir
2 4 2
Cartesian
2.494 1.247 1.955
0.000 1.247 5.864
0.000 0.000 0.000
1.247 1.247 -3.909
1.247 -1.247 3.909
0.000 2.494 0.000
2.494 -1.247 5.864
0.000 3.740 1.955
```